# 1
This record from Alexandria via LeMat-Bulk describes ZrTc2Te after structural relaxation. The functional is PBE.

Electronic total energy = -32.186 eV per cell
D(E_F) = 3.17 states/eV/cell
Uncorrected formation energy = 0.059 eV/atom
SG = No. 25

Structure (POSCAR):
```
ZrTc2Te
1.0
-0.1060 3.1708 0.2831
-0.8121 -0.3920 4.0866
5.3427 0.0831 1.0698
Tc Te Zr
2 1 1
Direct
0.0000 0.0000 0.0124 Tc
0.5000 0.5000 0.2352 Tc
0.0000 0.0000 0.4876 Te
0.5000 0.5000 0.7647 Zr
```

# 2
This record from Alexandria via LeMat-Bulk describes ZrTcTe2 after structural relaxation. The functional is PBE.

Electronic total energy = -25.815 eV per cell
Energy above the most stable polymorph in this dataset = 0.232 eV/atom
D(E_F) = 2.23 states/eV/cell
Uncorrected formation energy = -0.154 eV/atom
SG = No. 160

Structure (POSCAR):
```
ZrTcTe2
1.0
9.3265 -0.0549 -0.0324
8.6635 3.4542 -0.0324
8.6635 1.6370 3.0418
Zr Tc Te
1 1 2
Direct
0.4929 0.4929 0.4929 Zr
0.7512 0.7512 0.7512 Tc
0.2337 0.2337 0.2337 Te
0.0222 0.0222 0.0222 Te
```

# 3
This record from Alexandria via LeMat-Bulk describes ZrTc4Te after structural relaxation. The functional is PBE.

Electronic total energy = -52.288 eV per cell
D(E_F) = 6.12 states/eV/cell
Uncorrected formation energy = 0.144 eV/atom
SG = No. 216

Structure (POSCAR):
```
ZrTc4Te
1.0
0.0000 3.7335 3.7335
3.7335 0.0000 3.7335
3.7335 3.7335 0.0000
Tc Zr Te
4 1 1
Direct
0.3756 0.8731 0.3756 Tc
0.3756 0.3756 0.3756 Tc
0.8731 0.3756 0.3756 Tc
0.3756 0.3756 0.8731 Tc
0.0000 0.0000 0.0000 Zr
0.7500 0.7500 0.7500 Te
```

# 4
This record from Alexandria via LeMat-Bulk describes Th5Tc2 after structural relaxation. The functional is PBE.

Electronic total energy = -117.735 eV per cell
D(E_F) = 17.19 states/eV/cell
SG = No. 15
ΔH_f (0 K) = -0.15 eV/atom

Structure (POSCAR):
```
Th5Tc2
1.0
5.9851 0.0000 -2.3251
-0.3193 7.2729 -0.8219
0.0399 0.0772 8.9685
Th Tc
10 4
Direct
0.0040 0.0867 0.8110 Th
0.5904 0.2500 0.0000 Th
0.4096 0.7500 0.0000 Th
0.3654 0.1831 0.5672 Th
0.6346 0.8169 0.4328 Th
0.9960 0.9133 0.1890 Th
0.1930 0.4133 0.1890 Th
0.2017 0.6831 0.5672 Th
0.7983 0.3169 0.4328 Th
0.8070 0.5867 0.8110 Th
0.4149 0.0839 0.2162 Tc
0.8013 0.5839 0.2162 Tc
0.5851 0.9161 0.7838 Tc
0.1987 0.4161 0.7838 Tc
```

# 5
This record from Alexandria via LeMat-Bulk describes Th3Tc after structural relaxation. The functional is PBE.

Electronic total energy = -66.259 eV per cell
D(E_F) = 10.11 states/eV/cell
SG = No. 63
ΔH_f (0 K) = -0.13 eV/atom

Structure (POSCAR):
```
Th3Tc
1.0
-2.5898 -2.2776 1.6568
5.0973 -3.3752 -1.0903
3.5371 2.4624 8.9138
Th Tc
6 2
Direct
0.8617 0.7234 0.0597 Th
0.8617 0.7234 0.4403 Th
0.1383 0.2766 0.9403 Th
0.4128 0.8257 0.7500 Th
0.5872 0.1743 0.2500 Th
0.1383 0.2766 0.5597 Th
0.2856 0.5711 0.2500 Tc
0.7144 0.4289 0.7500 Tc
```

# 6
This record from Alexandria via LeMat-Bulk describes Th5Tc3 after structural relaxation. The functional is PBE.

Electronic total energy = -139.241 eV per cell
D(E_F) = 14.28 states/eV/cell
SG = No. 193
ΔH_f (0 K) = -0.18 eV/atom

Structure (POSCAR):
```
Th5Tc3
1.0
-0.0622 -1.0300 -6.6054
6.4966 -5.2276 0.7540
-7.8219 -2.9389 0.5319
Tc Th
6 10
Direct
0.7500 0.6144 0.0000 Tc
0.7500 0.3856 0.3856 Tc
0.2500 0.0000 0.3856 Tc
0.2500 0.6144 0.6144 Tc
0.7500 0.0000 0.6144 Tc
0.2500 0.3856 0.0000 Tc
0.7500 0.0000 0.2455 Th
0.7500 0.7545 0.7545 Th
0.0000 0.6667 0.3333 Th
0.5000 0.6667 0.3333 Th
0.5000 0.3333 0.6667 Th
0.2500 0.7545 0.0000 Th
0.2500 0.2455 0.2455 Th
0.7500 0.2455 0.0000 Th
0.0000 0.3333 0.6667 Th
0.2500 0.0000 0.7545 Th
```

# 7
This record from Alexandria via LeMat-Bulk describes Th2Tc3 after structural relaxation. The functional is PBE.

Electronic total energy = -93.247 eV per cell
D(E_F) = 8.81 states/eV/cell
SG = No. 64
ΔH_f (0 K) = -0.14 eV/atom

Structure (POSCAR):
```
Th2Tc3
1.0
-4.3100 -4.3587 -0.3731
5.4390 -0.8940 -1.8461
1.8447 -2.3884 6.5917
Th Tc
4 6
Direct
0.1674 0.3347 0.5965 Th
0.6674 0.3347 0.9035 Th
0.8326 0.6653 0.4035 Th
0.3326 0.6653 0.0965 Th
0.1689 0.8378 0.7500 Tc
0.5000 0.0000 0.5000 Tc
0.0000 0.0000 0.0000 Tc
0.6689 0.8378 0.7500 Tc
0.8311 0.1622 0.2500 Tc
0.3311 0.1622 0.2500 Tc
```

# 8
This record from Alexandria via LeMat-Bulk describes Th3Tc after structural relaxation. The functional is PBE.

Electronic total energy = -31.612 eV per cell
D(E_F) = 5.86 states/eV/cell
SG = No. 25
ΔH_f (0 K) = 0.25 eV/atom

Structure (POSCAR):
```
Th3Tc
1.0
3.6015 0.0000 0.0000
0.0000 3.4702 0.0000
0.0000 0.0000 9.4902
Th Tc
3 1
Direct
0.5000 0.5000 0.1372 Th
0.0000 0.5000 0.4726 Th
0.5000 0.0000 0.7492 Th
0.0000 0.0000 0.9743 Tc
```

# 9
This record from Alexandria via LeMat-Bulk describes ThTc4 after structural relaxation. The functional is PBE.

Electronic total energy = -37.235 eV per cell
D(E_F) = 3.95 states/eV/cell
SG = No. 221
ΔH_f (0 K) = 2.33 eV/atom

Structure (POSCAR):
```
ThTc4
1.0
4.8377 0.0000 0.0000
0.0000 4.8377 0.0000
0.0000 0.0000 4.8377
Th Tc
1 4
Direct
0.5000 0.5000 0.5000 Th
0.0000 0.5000 0.5000 Tc
0.5000 0.0000 0.5000 Tc
0.5000 0.5000 0.0000 Tc
0.0000 0.0000 0.0000 Tc
```

# 10
This record from Alexandria via LeMat-Bulk describes Th3Tc after structural relaxation. The functional is PBE.

Electronic total energy = -32.613 eV per cell
D(E_F) = 5.17 states/eV/cell
SG = No. 44
ΔH_f (0 K) = 0.00 eV/atom

Structure (POSCAR):
```
Th3Tc
1.0
-2.5459 2.1337 1.7466
-2.8905 0.6226 -4.9740
-0.0760 -5.6080 2.7080
Th Tc
3 1
Direct
0.5000 0.3951 0.0000 Th
0.2970 0.6962 0.5939 Th
0.7030 0.1023 0.4061 Th
0.0000 0.9730 0.0000 Tc
```

# 11
This record from Alexandria via LeMat-Bulk describes ThTiTc2 after structural relaxation. The functional is PBE.

Electronic total energy = -36.294 eV per cell
Energy above the most stable polymorph in this dataset = 0.121 eV/atom
D(E_F) = 4.80 states/eV/cell
SG = No. 123
ΔH_f (0 K) = -0.06 eV/atom

Structure (POSCAR):
```
ThTiTc2
1.0
-3.3292 -0.0607 0.5134
-0.6347 -1.7690 -4.3254
0.3474 -4.3708 1.7366
Ti Tc Th
1 2 1
Direct
0.5000 0.5000 0.5000 Ti
0.0000 0.0000 0.5000 Tc
0.0000 0.5000 0.0000 Tc
0.5000 0.0000 0.0000 Th
```

# 12
This record from Alexandria via LeMat-Bulk describes ThTiTc2 after structural relaxation. The functional is PBE.

Electronic total energy = -36.467 eV per cell
Energy above the most stable polymorph in this dataset = 0.078 eV/atom
D(E_F) = 3.67 states/eV/cell
SG = No. 123
ΔH_f (0 K) = -0.11 eV/atom

Structure (POSCAR):
```
ThTiTc2
1.0
3.3390 0.0000 0.0000
0.0000 3.3390 0.0000
0.0000 0.0000 6.6307
Ti Tc Th
1 2 1
Direct
0.5000 0.5000 0.0000 Ti
0.0000 0.0000 0.2275 Tc
0.0000 0.0000 0.7725 Tc
0.5000 0.5000 0.5000 Th
```